[1]
First-principles (PBE-GGA) data for crystalline ReBiPO2 at its relaxed geometry, as listed in Alexandria via LeMat-Bulk.

## Properties
The total energy is -5.56 eV/atom. Its energy relative to the lowest polymorph listed for this composition is 1290 meV per atom. Its density of states at the Fermi level is 1.741 states/eV/cell.

```
ReBiPO2
1.0
4.0938 0.0000 0.0000
0.0000 4.0938 0.0000
0.0000 0.0000 5.6417
Re O P Bi
1 2 1 1
Direct
0.5000 0.5000 0.5000
0.0000 0.5000 0.0000
0.5000 0.0000 0.0000
0.0000 0.0000 0.5000
0.0000 0.0000 0.0000
```



[2]
First-principles (PBE-GGA) data for crystalline ReBiPO2 at its relaxed geometry, as listed in Alexandria via LeMat-Bulk.

## Properties
The total energy is -6.85 eV/atom. Its energy relative to the lowest polymorph listed for this composition is 0 meV per atom. Its density of states at the Fermi level is 3.700 states/eV/cell.

```
ReBiPO2
1.0
-0.2029 2.2315 -3.1954
-2.5428 -2.5007 -1.5849
-3.9755 2.6913 2.1320
Bi Re O P
1 1 2 1
Direct
0.5000 0.5000 0.5000
0.0000 0.0000 0.0000
0.0000 0.5000 0.0000
0.5000 0.0000 0.0000
0.0000 0.0000 0.5000
```



[3]
First-principles (PBE-GGA) data for crystalline ReBi2PO at its relaxed geometry, as listed in Alexandria via LeMat-Bulk.

## Properties
The total energy is -5.65 eV/atom. Its density of states at the Fermi level is 3.981 states/eV/cell.

```
ReBi2PO
1.0
5.2561 0.0000 0.0000
0.0000 3.7953 0.0000
0.0000 0.0000 5.2561
Re O Bi P
1 1 2 1
Direct
0.0000 0.5000 0.0000
0.0000 0.0000 0.0000
0.0000 0.0000 0.5000
0.5000 0.0000 0.0000
0.5000 0.5000 0.5000
```



[4]
First-principles (PBE-GGA) data for crystalline BiP2RhO8 at its relaxed geometry, as listed in Alexandria via LeMat-Bulk.

## Properties
The total energy is -6.60 eV/atom.

```
BiP2RhO8
1.0
4.7599 0.0000 0.0000
2.3800 4.1222 0.0000
2.3800 1.3741 7.2853
O Bi P Rh
8 1 2 1
Direct
0.9072 0.5280 0.3097
0.7449 0.4720 0.6903
0.2551 0.9072 0.3097
0.0928 0.7449 0.6903
0.3216 0.3216 0.0352
0.4720 0.0928 0.6903
0.5280 0.2551 0.3097
0.6784 0.6784 0.9648
0.0000 0.0000 0.0000
0.7502 0.7502 0.7495
0.2498 0.2498 0.2505
0.5000 0.5000 0.5000
```



| no. | uncorrected formation energy (meV per atom) |
| --- | --- |
| 1 | 774 |
| 2 | -516 |
| 3 | 467 |
| 4 | -1458 |